NaCuO2: relaxed, GGA-PBE. Values from VASP.

The calculation puts the magnetization at 2.0 μB/f.u. As for the space-group type: R3m. The formation energy from raw total energies comes out at -0.84 eV/atom.

Geometry as Quantum ESPRESSO input:
```
&SYSTEM
  ibrav = 0, nat = 12, ntyp = 3
/
ATOMIC_SPECIES
Na 22.99 Na.upf
Cu 63.55 Cu.upf
O 16.00 O.upf
CELL_PARAMETERS angstrom
3.014 0.000 0.000
-1.507 2.610 0.000
0.000 0.000 16.281
ATOMIC_POSITIONS crystal
Na 0.000 0.000 0.000
Na 0.333 0.667 0.667
Na 0.667 0.333 0.333
Cu 0.000 0.000 0.171
Cu 0.333 0.667 0.837
Cu 0.667 0.333 0.504
O 0.000 0.000 0.569
O 0.000 0.000 0.771
O 0.333 0.667 0.236
O 0.333 0.667 0.438
O 0.667 0.333 0.104
O 0.667 0.333 0.903
```

FeP2: relaxed, GGA-PBE. Values from VASP.

Its energy relative to the elements is -0.448 eV per atom. The calculation puts the magnetization at 0.0 μB/f.u. As for the space-group type: Pbcn.

Geometry as Quantum ESPRESSO input:
```
&SYSTEM
  ibrav = 0, nat = 12, ntyp = 2
/
ATOMIC_SPECIES
Fe 55.84 Fe.upf
P 30.97 P.upf
CELL_PARAMETERS angstrom
4.961 0.000 0.000
0.000 6.200 0.000
0.000 0.000 5.030
ATOMIC_POSITIONS crystal
Fe 0.000 0.102 0.250
Fe 0.000 0.898 0.750
Fe 0.500 0.398 0.750
Fe 0.500 0.602 0.250
P 0.179 0.394 0.056
P 0.179 0.606 0.556
P 0.321 0.106 0.556
P 0.321 0.894 0.056
P 0.679 0.106 0.944
P 0.679 0.894 0.444
P 0.821 0.394 0.444
P 0.821 0.606 0.944
```